Record 1
Below is an optimized crystal structure of KSr3Be, with properties calculated at the GGA-PBE level.

Cell lengths 6.244, 6.244, 6.244 Å; angles 90.00, 90.00, 90.00 degrees
Fractional coordinates of all 5 atoms:
K (0.000, 0.000, 0.000)
Sr (0.000, 0.500, 0.500)
Sr (0.500, 0.000, 0.500)
Sr (0.500, 0.500, 0.000)
Be (0.500, 0.500, 0.500)

## Properties
As for the space group: Pm-3m. As for the volume: 48.7 A^3/atom. The formation energy is 0.278 eV/atom. For the polymorph energy (0 for the lowest one), the calculation gives 0 meV/atom.



Record 2
Below is an optimized crystal structure of KSrBe, with properties calculated at the GGA-PBE level.

Cell lengths 3.927, 3.927, 15.225 Å; angles 90.00, 90.00, 90.00 degrees
Fractional coordinates of all 6 atoms:
K (0.000, 0.000, 0.000)
K (0.500, 0.500, 0.500)
Sr (0.000, 0.000, 0.252)
Sr (0.500, 0.500, 0.752)
Be (0.000, 0.000, 0.651)
Be (0.500, 0.500, 0.151)

## Properties
As for the space group: I4mm. As for the volume: 39.1 A^3/atom. The formation energy is 0.580 eV/atom. For the polymorph energy (0 for the lowest one), the calculation gives 0 meV/atom.



- Which value of polymorph energy (0 for the lowest one) does entry 1 give?
  0 meV/atom



- Which value of polymorph energy (0 for the lowest one) does entry 2 give?
  0 meV/atom



- What is the formula in the first record?
  KSr3Be